1.
In2Ga2Sn | Alexandria | PBE | relaxed; E_tot = -15.12 eV per formula unit; N(E_F) = 0.511 states/eV per atom; V = 24.91 Å³ per atom; magnetization = 0.000 μB per cell; ΔE to the lowest computed polymorph = 0.048 eV/atom; energy relative to the elements = 0.4 eV per formula unit
1.0
-1.924 1.924 8.407
1.924 -1.924 8.407
1.924 1.924 -8.407
In Ga Sn
2 2 1
Direct
0.106 0.106 0.000 In
0.894 0.894 0.000 In
0.250 0.750 0.500 Ga
0.750 0.250 0.500 Ga
0.500 0.500 0.000 Sn

2.
In3GaSn4 | Alexandria | PBE | relaxed; E_tot = -27.02 eV per formula unit; N(E_F) = 0.273 states/eV per atom; V = 26.40 Å³ per atom; magnetization = 0.000 μB per cell; energy relative to the elements = 0.2 eV per formula unit
1.0
2.344 -2.521 0.000
2.344 2.521 0.000
0.000 0.000 17.864
In Ga Sn
3 1 4
Direct
0.000 0.000 0.000 In
0.000 0.000 0.258 In
0.000 0.000 0.742 In
0.000 0.000 0.500 Ga
0.500 0.500 0.129 Sn
0.500 0.500 0.389 Sn
0.500 0.500 0.611 Sn
0.500 0.500 0.871 Sn

3.
InGa2Sn | Alexandria | PBE | relaxed; E_tot = -12.22 eV per formula unit; N(E_F) = 0.482 states/eV per atom; V = 25.30 Å³ per atom; magnetization = 0.000 μB per cell; ΔE to the lowest computed polymorph = 0.110 eV/atom; energy relative to the elements = 0.6 eV per formula unit
1.0
-2.072 2.081 5.868
2.072 -2.081 5.868
2.072 2.081 -5.868
In Ga Sn
1 2 1
Direct
0.000 0.000 0.000 In
0.258 0.258 0.000 Ga
0.742 0.742 0.000 Ga
0.500 0.500 0.000 Sn

4.
InGa2Sn | Alexandria | PBE | relaxed; E_tot = -12.51 eV per formula unit; N(E_F) = 0.397 states/eV per atom; V = 25.39 Å³ per atom; magnetization = 0.000 μB per cell; ΔE to the lowest computed polymorph = 0.038 eV/atom; energy relative to the elements = 0.3 eV per formula unit
1.0
3.860 -2.147 0.000
3.860 2.147 0.000
-2.618 0.000 6.126
In Ga Sn
1 2 1
Direct
0.000 0.000 0.000 In
0.423 0.423 0.279 Ga
0.585 0.585 0.751 Ga
0.178 0.178 0.518 Sn

5.
In3Ga3Sn8 | Alexandria | PBE | relaxed; E_tot = -48.70 eV per formula unit; N(E_F) = 0.369 states/eV per atom; V = 26.63 Å³ per atom; magnetization = 0.000 μB per cell; energy relative to the elements = 0.6 eV per formula unit
1.0
-2.481 5.763 6.519
2.481 -5.763 6.519
2.481 5.763 -6.519
In Ga Sn
3 3 8
Direct
0.000 0.000 0.000 In
0.278 0.278 0.000 In
0.722 0.722 0.000 In
0.372 0.500 0.872 Ga
0.500 0.000 0.500 Ga
0.628 0.500 0.128 Ga
0.015 0.375 0.639 Sn
0.158 0.858 0.301 Sn
0.264 0.625 0.639 Sn
0.443 0.142 0.301 Sn
0.557 0.858 0.699 Sn
0.736 0.375 0.361 Sn
0.842 0.142 0.699 Sn
0.985 0.625 0.361 Sn

6.
Sr3In6Ga2Sn | Alexandria | PBE | relaxed; E_tot = -33.57 eV per formula unit; N(E_F) = 0.490 states/eV per atom; V = 30.63 Å³ per atom; magnetization = 0.000 μB per cell; energy relative to the elements = -2.0 eV per formula unit
1.0
6.109 0.000 0.000
-3.054 5.290 0.000
0.000 0.000 11.371
Sr In Ga Sn
3 6 2 1
Direct
0.000 0.000 0.000 Sr
0.333 0.667 0.573 Sr
0.667 0.333 0.427 Sr
0.169 0.337 0.262 In
0.169 0.831 0.262 In
0.337 0.169 0.738 In
0.663 0.831 0.262 In
0.831 0.169 0.738 In
0.831 0.663 0.738 In
0.333 0.667 0.025 Ga
0.667 0.333 0.975 Ga
0.000 0.000 0.500 Sn

7.
Sr2In6GaSn | Alexandria | PBE | relaxed; E_tot = -27.94 eV per formula unit; N(E_F) = 0.538 states/eV per atom; V = 31.76 Å³ per atom; magnetization = 0.000 μB per cell; energy relative to the elements = -1.1 eV per formula unit
1.0
3.785 2.185 12.801
-3.785 2.185 12.801
0.000 -4.370 12.801
Sr In Ga Sn
4 12 2 2
Direct
0.103 0.103 0.103 Sr
0.278 0.278 0.278 Sr
0.722 0.722 0.722 Sr
0.897 0.897 0.897 Sr
0.074 0.670 0.670 In
0.221 0.221 0.641 In
0.221 0.641 0.221 In
0.330 0.330 0.926 In
0.330 0.926 0.330 In
0.359 0.779 0.779 In
0.641 0.221 0.221 In
0.670 0.074 0.670 In
0.670 0.670 0.074 In
0.779 0.359 0.779 In
0.779 0.779 0.359 In
0.926 0.330 0.330 In
0.000 0.000 0.000 Ga
0.500 0.500 0.500 Ga
0.425 0.425 0.425 Sn
0.575 0.575 0.575 Sn

8.
InGaTcSn2 | Alexandria | PBE | relaxed; E_tot = -18.08 eV per formula unit; N(E_F) = 0.697 states/eV per atom; V = 32.43 Å³ per atom; magnetization = 3.029 μB per cell; ΔE to the lowest computed polymorph = 1.063 eV/atom; energy relative to the elements = 6.1 eV per formula unit
1.0
5.568 0.000 0.000
0.000 5.568 0.000
0.000 0.000 5.229
In Ga Tc Sn
1 1 1 2
Direct
0.000 0.000 0.000 In
0.500 0.500 0.500 Ga
0.000 0.000 0.500 Tc
0.000 0.500 0.000 Sn
0.500 0.000 0.000 Sn

9.
InGaTcSn2 | Alexandria | PBE | relaxed; E_tot = -23.39 eV per formula unit; N(E_F) = 0.672 states/eV per atom; V = 26.72 Å³ per atom; magnetization = 0.000 μB per cell; ΔE to the lowest computed polymorph = 0.000 eV/atom; energy relative to the elements = 0.7 eV per formula unit
1.0
5.219 0.000 0.000
0.000 5.219 0.000
0.000 0.000 4.905
In Ga Tc Sn
1 1 1 2
Direct
0.000 0.000 0.000 In
0.500 0.500 0.000 Ga
0.500 0.500 0.500 Tc
0.000 0.500 0.500 Sn
0.500 0.000 0.500 Sn

10.
ThInGaSn | Alexandria | PBE | relaxed; E_tot = -18.86 eV per formula unit; N(E_F) = 0.690 states/eV per atom; V = 25.07 Å³ per atom; magnetization = 0.000 μB per cell; energy relative to the elements = -1.7 eV per formula unit
1.0
4.497 0.000 0.000
0.000 4.578 0.000
0.000 0.000 4.870
Th In Ga Sn
1 1 1 1
Direct
0.000 0.000 0.000 Th
0.000 0.500 0.500 In
0.500 0.500 0.000 Ga
0.500 0.000 0.500 Sn

11.
TlIn2GaSn | Alexandria | PBE | relaxed; E_tot = -14.60 eV per formula unit; N(E_F) = 0.490 states/eV per atom; V = 27.57 Å³ per atom; magnetization = 0.000 μB per cell; energy relative to the elements = 0.3 eV per formula unit
1.0
6.223 0.000 0.000
0.000 6.980 0.000
0.000 0.000 6.346
Tl In Ga Sn
2 4 2 2
Direct
0.250 0.000 0.242 Tl
0.750 0.000 0.758 Tl
0.250 0.219 0.746 In
0.250 0.781 0.746 In
0.750 0.219 0.254 In
0.750 0.781 0.254 In
0.000 0.500 0.000 Ga
0.500 0.500 0.000 Ga
0.250 0.500 0.374 Sn
0.750 0.500 0.626 Sn

12.
Tl2In7Ga2Sn | Alexandria | PBE | relaxed; E_tot = -32.51 eV per formula unit; N(E_F) = 0.462 states/eV per atom; V = 30.20 Å³ per atom; magnetization = 0.000 μB per cell; energy relative to the elements = 1.4 eV per formula unit
1.0
-2.143 13.223 3.197
2.143 -13.223 3.197
2.143 13.223 -3.197
Tl In Ga Sn
2 7 2 1
Direct
0.221 0.000 0.221 Tl
0.779 0.000 0.779 Tl
0.159 0.159 0.000 In
0.322 0.511 0.810 In
0.334 0.904 0.430 In
0.473 0.904 0.570 In
0.671 0.760 0.910 In
0.701 0.511 0.190 In
0.850 0.760 0.090 In
0.070 0.186 0.884 Ga
0.301 0.186 0.116 Ga
0.794 0.294 0.500 Sn

13.
TlInGaSn | Alexandria | PBE | relaxed; E_tot = -12.02 eV per formula unit; N(E_F) = 0.546 states/eV per atom; V = 26.37 Å³ per atom; magnetization = 0.000 μB per cell; ΔE to the lowest computed polymorph = 0.000 eV/atom; energy relative to the elements = 0.1 eV per formula unit
1.0
3.497 0.000 0.000
0.000 3.497 0.000
0.000 0.000 8.625
Tl In Ga Sn
1 1 1 1
Direct
0.000 0.000 0.000 Tl
0.500 0.500 0.714 In
0.000 0.000 0.498 Ga
0.500 0.500 0.287 Sn

14.
Tl2In4GaSn | Alexandria | PBE | relaxed; E_tot = -22.14 eV per formula unit; N(E_F) = 0.396 states/eV per atom; V = 29.23 Å³ per atom; magnetization = 0.000 μB per cell; energy relative to the elements = 0.6 eV per formula unit
1.0
6.608 0.000 0.000
0.000 4.946 0.000
-2.973 0.000 7.154
Tl In Ga Sn
2 4 1 1
Direct
0.000 0.000 0.000 Tl
0.500 0.500 0.500 Tl
0.022 0.500 0.718 In
0.457 0.000 0.752 In
0.543 0.000 0.248 In
0.978 0.500 0.282 In
0.000 0.000 0.500 Ga
0.500 0.500 0.000 Sn

15.
TlInGaSn | Alexandria | PBE | relaxed; E_tot = -11.87 eV per formula unit; N(E_F) = 0.554 states/eV per atom; V = 26.45 Å³ per atom; magnetization = 0.000 μB per cell; ΔE to the lowest computed polymorph = 0.037 eV/atom; energy relative to the elements = 0.3 eV per formula unit
1.0
0.000 3.754 3.754
3.754 0.000 3.754
3.754 3.754 0.000
Tl In Ga Sn
1 1 1 1
Direct
0.000 0.000 0.000 Tl
0.250 0.250 0.250 In
0.750 0.750 0.750 Ga
0.500 0.500 0.500 Sn

16.
Tl2InGaSn2 | Alexandria | PBE | relaxed; E_tot = -18.30 eV per formula unit; N(E_F) = 0.381 states/eV per atom; V = 29.15 Å³ per atom; magnetization = 0.000 μB per cell; energy relative to the elements = 0.2 eV per formula unit
1.0
-3.157 8.238 3.363
3.157 -8.238 3.363
3.157 8.238 -3.363
Tl In Ga Sn
4 2 2 4
Direct
0.183 0.216 0.399 Tl
0.317 0.716 0.033 Tl
0.683 0.284 0.967 Tl
0.817 0.784 0.601 Tl
0.250 0.250 0.000 In
0.750 0.750 0.000 In
0.250 0.750 0.500 Ga
0.750 0.250 0.500 Ga
0.117 0.712 0.830 Sn
0.383 0.212 0.595 Sn
0.617 0.788 0.405 Sn
0.883 0.288 0.170 Sn

17.
TlIn2Ga2Sn2 | Alexandria | PBE | relaxed; E_tot = -21.43 eV per formula unit; N(E_F) = 0.237 states/eV per atom; V = 26.70 Å³ per atom; magnetization = 0.000 μB per cell; energy relative to the elements = 0.5 eV per formula unit
1.0
2.445 1.411 9.028
-2.445 1.411 9.028
0.000 -2.823 9.028
Tl In Ga Sn
1 2 2 2
Direct
0.000 0.000 0.000 Tl
0.273 0.273 0.273 In
0.727 0.727 0.727 In
0.432 0.432 0.432 Ga
0.568 0.568 0.568 Ga
0.138 0.138 0.138 Sn
0.862 0.862 0.862 Sn

18.
Tl2In2GaSn | Alexandria | PBE | relaxed; E_tot = -17.03 eV per formula unit; N(E_F) = 0.504 states/eV per atom; V = 28.11 Å³ per atom; magnetization = 0.000 μB per cell; energy relative to the elements = 0.2 eV per formula unit
1.0
-3.157 8.556 3.123
3.157 -8.556 3.123
3.157 8.556 -3.123
Tl In Ga Sn
4 4 2 2
Direct
0.183 0.185 0.368 Tl
0.317 0.685 0.001 Tl
0.683 0.315 0.999 Tl
0.817 0.815 0.632 Tl
0.126 0.689 0.815 In
0.374 0.189 0.563 In
0.626 0.811 0.437 In
0.874 0.311 0.185 In
0.250 0.750 0.500 Ga
0.750 0.250 0.500 Ga
0.250 0.250 0.000 Sn
0.750 0.750 0.000 Sn

19.
TlIn4Ga2Sn | Alexandria | PBE | relaxed; E_tot = -22.56 eV per formula unit; N(E_F) = 0.503 states/eV per atom; V = 27.43 Å³ per atom; magnetization = 0.000 μB per cell; energy relative to the elements = 0.8 eV per formula unit
1.0
5.630 0.000 0.000
0.000 5.630 0.000
0.000 0.000 6.922
Tl In Ga Sn
1 4 2 1
Direct
0.000 0.000 0.000 Tl
0.000 0.500 0.257 In
0.000 0.500 0.743 In
0.500 0.000 0.257 In
0.500 0.000 0.743 In
0.500 0.500 0.309 Ga
0.500 0.500 0.691 Ga
0.000 0.000 0.500 Sn

20.
UInGaSn | Alexandria | PBE | relaxed; E_tot = -21.04 eV per formula unit; N(E_F) = 1.503 states/eV per atom; V = 23.48 Å³ per atom; magnetization = 5.115 μB per cell; energy relative to the elements = 0.0 eV per formula unit
1.0
4.434 0.000 0.000
0.000 4.434 0.000
0.000 0.000 9.555
U In Ga Sn
2 2 2 2
Direct
0.250 0.250 0.224 U
0.750 0.750 0.776 U
0.250 0.750 0.500 In
0.750 0.250 0.500 In
0.250 0.750 0.000 Ga
0.750 0.250 0.000 Ga
0.250 0.250 0.763 Sn
0.750 0.750 0.237 Sn

21.
YInGaSn | Alexandria | PBE | relaxed; E_tot = -18.06 eV per formula unit; N(E_F) = 0.477 states/eV per atom; V = 23.74 Å³ per atom; magnetization = 0.000 μB per cell; energy relative to the elements = -1.8 eV per formula unit
1.0
4.375 0.000 0.000
0.000 4.519 0.000
0.000 0.000 4.803
Y In Ga Sn
1 1 1 1
Direct
0.000 0.000 0.000 Y
0.000 0.500 0.500 In
0.500 0.500 0.000 Ga
0.500 0.000 0.500 Sn

22.
ZnIn2GaSn2 | Alexandria | PBE | relaxed; E_tot = -17.39 eV per formula unit; N(E_F) = 0.378 states/eV per atom; V = 25.26 Å³ per atom; magnetization = 0.000 μB per cell; energy relative to the elements = 0.4 eV per formula unit
1.0
-3.091 7.977 3.074
3.091 -7.977 3.074
3.091 7.977 -3.074
Zn In Ga Sn
2 4 2 4
Direct
0.250 0.250 0.000 Zn
0.750 0.750 0.000 Zn
0.179 0.727 0.906 In
0.321 0.227 0.548 In
0.679 0.773 0.452 In
0.821 0.273 0.094 In
0.250 0.750 0.500 Ga
0.750 0.250 0.500 Ga
0.122 0.230 0.352 Sn
0.378 0.730 0.108 Sn
0.622 0.270 0.892 Sn
0.878 0.770 0.648 Sn

23.
Sr3In9Ga2 | Alexandria | PBE | relaxed; E_tot = -39.98 eV per formula unit; N(E_F) = 0.384 states/eV per atom; V = 27.92 Å³ per atom; magnetization = 0.000 μB per cell; energy relative to the elements = -4.2 eV per formula unit
1.0
-2.475 5.649 6.989
2.475 -5.649 6.989
2.475 5.649 -6.989
Sr In Ga
3 9 2
Direct
0.000 0.000 0.000 Sr
0.312 0.312 0.000 Sr
0.688 0.688 0.000 Sr
0.022 0.652 0.370 In
0.134 0.856 0.278 In
0.281 0.652 0.630 In
0.422 0.144 0.278 In
0.500 0.000 0.500 In
0.578 0.856 0.722 In
0.719 0.348 0.370 In
0.866 0.144 0.722 In
0.978 0.348 0.630 In
0.307 0.500 0.807 Ga
0.693 0.500 0.193 Ga

24.
SrIn3Ga2 | Alexandria | PBE | relaxed; E_tot = -17.31 eV per formula unit; N(E_F) = 0.444 states/eV per atom; V = 26.11 Å³ per atom; magnetization = 0.000 μB per cell; energy relative to the elements = -1.4 eV per formula unit
1.0
-2.322 4.477 7.535
2.322 -4.477 7.535
2.322 4.477 -7.535
Sr In Ga
2 6 4
Direct
0.138 0.138 0.000 Sr
0.862 0.862 0.000 Sr
0.117 0.328 0.789 In
0.335 0.000 0.335 In
0.462 0.672 0.789 In
0.538 0.328 0.211 In
0.665 0.000 0.665 In
0.883 0.672 0.211 In
0.147 0.500 0.647 Ga
0.311 0.811 0.500 Ga
0.689 0.189 0.500 Ga
0.853 0.500 0.353 Ga